# 1
First-principles (PBE) data for Sm3Hf3TaN8 after structural relaxation, as listed in Alexandria.

a = 11.304 Å, b = 6.527 Å, c = 6.815 Å
α = 90.00°, β = 123.51°, γ = 90.00°
Space group C2/m (No. 12)
Unique sites:
Sm 0.000 0.000 0.000 x2
Sm 0.250 0.250 0.000 x4
Hf 0.000 0.500 0.500 x2
Hf 0.250 0.250 0.500 x4
Ta 0.000 0.000 0.500 x2
N 0.012 0.240 0.295 x8
N 0.228 0.000 0.704 x4
N 0.238 0.500 0.715 x4

Properties
E_form (uncorrected)	-1.54	eV per atom

# 2
First-principles (PBE) data for La8TbTl2 after structural relaxation, as listed in Alexandria.

a = 5.284 Å, b = 9.089 Å, c = 16.028 Å
α = 90.00°, β = 90.00°, γ = 90.00°
Space group Immm (No. 71)
Unique sites:
La 0.000 0.000 0.147 x4
La 0.000 0.221 0.339 x8
La 0.000 0.325 0.000 x4
Tb 0.000 0.500 0.500 x2
Tl 0.000 0.500 0.194 x4

Properties
ΔE to the lowest computed polymorph	0.0	kJ per mole of atoms
energy of formation from the pure elements	-98	meV/atom

# 3
First-principles (PBE) data for Ti5NbGe3 after structural relaxation, as listed in Alexandria.

a = 6.392 Å, b = 6.392 Å, c = 15.103 Å
α = 90.00°, β = 90.00°, γ = 90.00°
Space group I4/mcm (No. 140)
Unique sites:
Ti 0.000 0.000 0.000 x4
Ti 0.186 0.314 0.126 x16
Nb 0.000 0.500 0.250 x4
Ge 0.000 0.000 0.250 x4
Ge 0.131 0.369 0.500 x8

Properties
energy of formation from the pure elements	-165	meV/atom

# 4
First-principles (PBE) data for Sr2Cu3NiSb4 after structural relaxation, as listed in Alexandria.

a = 4.583 Å, b = 4.583 Å, c = 10.712 Å
α = 90.00°, β = 90.00°, γ = 90.00°
Space group P-4m2 (No. 115)
Unique sites:
Sr 0.000 0.500 0.236 x2
Cu 0.000 0.000 0.000 x1
Cu 0.000 0.500 0.636 x2
Ni 0.500 0.500 0.000 x1
Sb 0.000 0.000 0.500 x1
Sb 0.000 0.500 0.878 x2
Sb 0.500 0.500 0.500 x1

Properties
E_form (uncorrected)	-0.44	eV per atom

# 5
First-principles (PBE) data for InCo2Cl after structural relaxation, as listed in Alexandria.

a = 5.794 Å, b = 7.308 Å, c = 3.001 Å
α = 90.00°, β = 90.00°, γ = 90.00°
Space group Cmmm (No. 65)
Unique sites:
In 0.000 0.000 0.000 x2
Co 0.250 0.250 0.500 x4
Cl 0.000 0.500 0.000 x2

Properties
E_form (uncorrected)	0.58	eV per atom
ΔE to the lowest computed polymorph	41.1	kJ per mole of atoms

# 6
First-principles (PBE) data for La2InI after structural relaxation, as listed in Alexandria.

a = 8.079 Å, b = 4.696 Å, c = 7.962 Å
α = 90.00°, β = 109.98°, γ = 90.00°
Space group C2/m (No. 12)
Unique sites:
La 0.244 0.000 0.234 x4
In 0.000 0.500 0.000 x2
I 0.000 0.000 0.500 x2

Properties
E_form (uncorrected)	-0.71	eV per atom
ΔE to the lowest computed polymorph	3.4	kJ per mole of atoms

# 7
First-principles (PBE) data for CaVPt2Cl after structural relaxation, as listed in Alexandria.

a = 5.067 Å, b = 5.067 Å, c = 4.919 Å
α = 90.00°, β = 90.00°, γ = 90.00°
Space group P4/mmm (No. 123)
Unique sites:
Ca 0.000 0.000 0.000 x1
V 0.500 0.500 0.500 x1
Pt 0.000 0.500 0.000 x2
Cl 0.000 0.000 0.500 x1

Properties
E_form (uncorrected)	0.98	eV per atom

# 8
First-principles (PBE) data for FeHg2C after structural relaxation, as listed in Alexandria.

a = 9.440 Å, b = 9.440 Å, c = 3.655 Å
α = 90.00°, β = 90.00°, γ = 90.00°
Space group I4_1/amd (No. 141, origin choice 2)
Unique sites:
Fe 0.000 0.250 0.375 x4
Hg 0.000 0.000 0.000 x8
C 0.000 0.250 0.875 x4

Properties
energy of formation from the pure elements	934	meV/atom

Number 1: volume 419.3 Å³ per cell. Number 2: volume 769.7 Å³ per cell. Number 3: volume 617.0 Å³ per cell. Number 4: volume 225.0 Å³ per cell. Number 5: volume 127.1 Å³ per cell. Number 6: volume 283.9 Å³ per cell. Number 7: volume 126.3 Å³ per cell. Number 8: volume 325.7 Å³ per cell.